# 1
Below is a geometry-optimized RbSi3W structure, with properties calculated at the PBE level.

abc: 4.8695 4.8695 4.8695
angles: 90.00 90.00 90.00
Space group Pm-3m (No. 221)
Inequivalent atoms, fractional coordinates:
Rb: 0.0000 0.0000 0.0000
Si: 0.0000 0.5000 0.5000
W: 0.5000 0.5000 0.5000

ΔE_f (raw)	0.285	eV/atom
E	-5.7530	eV/atom
calculated density	5.085	Mg/m³
ΔE to the lowest computed polymorph	0.000	eV/atom

***

# 2
Below is a geometry-optimized La5CdIn2 structure, with properties calculated at the PBE level.

abc: 5.9216 5.9216 14.4499
angles: 90.00 90.00 90.00
Space group I4/mmm (No. 139)
Inequivalent atoms, fractional coordinates:
La: 0.0000 0.0000 0.0000
La: 0.0000 0.5000 0.1301
Cd: 0.0000 0.0000 0.5000
In: 0.0000 0.0000 0.2471

E	-4.1648	eV/atom
calculated density	6.794	Mg/m³

***

# 3
Below is a geometry-optimized SmThPdRh structure, with properties calculated at the PBE level.

abc: 7.1462 7.1462 7.1462
angles: 90.00 90.00 90.00
Space group F-43m (No. 216)
Inequivalent atoms, fractional coordinates:
Sm: 0.0000 0.0000 0.0000
Th: 0.0000 0.0000 0.5000
Pd: 0.2500 0.2500 0.2500
Rh: 0.2500 0.2500 0.7500

E	-6.8854	eV/atom
calculated density	10.770	Mg/m³
ΔE to the lowest computed polymorph	0.159	eV/atom

***

# 4
Below is a geometry-optimized Li3Zn3Ag2Hg structure, with properties calculated at the PBE level.

abc: 7.7523 7.7523 2.8344
angles: 90.00 90.00 120.00
Space group P-62m (No. 189)
Inequivalent atoms, fractional coordinates:
Li: 0.0000 0.3100 0.0000
Zn: 0.0000 0.6333 0.5000
Ag: 0.3333 0.6667 0.0000
Hg: 0.0000 0.0000 0.5000

E	-1.9042	eV/atom
calculated density	7.130	Mg/m³